(i)
{
  "formula": "Pm6IrRh3",
  "functional": "GGA-PBE",
  "state": "relaxed",
  "cell": [[-2.389, -0.440, -6.603], [8.441, -0.556, -3.017], [-2.497, -8.501, 1.470]],
  "species": ["Pm", "Pm", "Pm", "Pm", "Pm", "Pm", "Pm", "Pm", "Pm", "Pm", "Pm", "Pm", "Ir", "Ir", "Rh", "Rh", "Rh", "Rh", "Rh", "Rh"],
  "frac_coords": [[0.156, 0.704, 0.646], [0.656, 0.646, 0.704], [0.201, 0.437, 0.893], [0.701, 0.893, 0.437], [0.274, 0.007, 0.993], [0.657, 0.240, 0.760], [0.157, 0.760, 0.240], [0.774, 0.993, 0.007], [0.201, 0.107, 0.563], [0.701, 0.563, 0.107], [0.156, 0.354, 0.296], [0.656, 0.296, 0.354], [0.009, 0.155, 0.845], [0.509, 0.845, 0.155], [0.472, 0.934, 0.705], [0.972, 0.705, 0.934], [0.387, 0.403, 0.597], [0.887, 0.597, 0.403], [0.972, 0.066, 0.295], [0.472, 0.295, 0.066]],
  "n_ef_per_ev_cell": 9.29
}

---

(ii)
{
  "formula": "Pm6IrRh3",
  "functional": "GGA-PBE",
  "state": "relaxed",
  "cell": [[-3.586, -0.766, 1.850], [-0.600, -10.122, -5.352], [5.708, -1.474, 10.456]],
  "species": ["Pm", "Pm", "Pm", "Pm", "Pm", "Pm", "Pm", "Pm", "Pm", "Pm", "Pm", "Pm", "Ir", "Ir", "Rh", "Rh", "Rh", "Rh", "Rh", "Rh"],
  "frac_coords": [[0.750, 0.468, 0.612], [0.250, 0.532, 0.388], [0.750, 0.922, 0.108], [0.250, 0.078, 0.892], [0.750, 0.397, 0.063], [0.250, 0.603, 0.937], [0.750, 0.742, 0.283], [0.250, 0.258, 0.717], [0.750, 0.109, 0.453], [0.250, 0.891, 0.547], [0.750, 0.804, 0.764], [0.250, 0.196, 0.236], [0.750, 0.050, 0.693], [0.250, 0.950, 0.307], [0.750, 0.431, 0.834], [0.250, 0.569, 0.166], [0.750, 0.690, 0.510], [0.250, 0.310, 0.490], [0.750, 0.151, 0.071], [0.250, 0.849, 0.929]],
  "n_ef_per_ev_cell": 10.77
}

---

What should be chosen as the least stable of them? Choose (i).